PaMnCrGe | GGA-PBE | relaxed

Geometry as extended XYZ:
```
4
Lattice="0.0000 3.1456 3.1456 3.1456 0.0000 3.1456 3.1456 3.1456 0.0000" Properties=species:S:1:pos:R:3 pbc="T T T"
Pa 0.0000 0.0000 0.0000
Mn 1.5728 1.5728 1.5728
Cr 4.7185 4.7185 4.7185
Ge 3.1456 3.1456 3.1456
```

Spin magnetization (Bohr magnetons per cell): 1.9
Energy relative to the elements (kcal/mol of atoms): -1.03

---

MnCrGePb2 | GGA-PBE | relaxed

Geometry as extended XYZ:
```
5
Lattice="5.2060 0.0000 0.0000 0.0000 5.2060 0.0000 0.0000 0.0000 4.6169" Properties=species:S:1:pos:R:3 pbc="T T T"
Mn 0.0000 0.0000 0.0000
Cr 2.6030 2.6030 2.3085
Ge 0.0000 0.0000 2.3085
Pb 0.0000 2.6030 0.0000
Pb 2.6030 0.0000 0.0000
```

Energy relative to the lowest polymorph listed for this composition (meV per atom): 0
Spin magnetization (Bohr magnetons per cell): 7.0
Energy relative to the elements (kcal/mol of atoms): 14.82

---

MnCrGePd2 | GGA-PBE | relaxed

Geometry as extended XYZ:
```
5
Lattice="4.6959 0.0000 0.0000 0.0000 4.6959 0.0000 0.0000 0.0000 3.9968" Properties=species:S:1:pos:R:3 pbc="T T T"
Mn 0.0000 0.0000 0.0000
Cr 0.0000 0.0000 1.9984
Ge 2.3480 2.3480 0.0000
Pd 0.0000 2.3480 1.9984
Pd 2.3480 0.0000 1.9984
```

Spin magnetization (Bohr magnetons per cell): 0.0
Energy relative to the elements (kcal/mol of atoms): 21.80

---

MnCrGePd | GGA-PBE | relaxed

Geometry as extended XYZ:
```
4
Lattice="0.0000 3.0621 3.0621 3.0621 0.0000 3.0621 3.0621 3.0621 0.0000" Properties=species:S:1:pos:R:3 pbc="T T T"
Mn 0.0000 0.0000 0.0000
Cr 1.5311 1.5311 1.5311
Ge 3.0621 3.0621 3.0621
Pd 4.5932 4.5932 4.5932
```

Spin magnetization (Bohr magnetons per cell): 1.0
Energy relative to the elements (kcal/mol of atoms): -2.41

---

MnCrReGe | GGA-PBE | relaxed

Geometry as extended XYZ:
```
4
Lattice="0.0000 2.9727 2.9727 2.9727 0.0000 2.9727 2.9727 2.9727 0.0000" Properties=species:S:1:pos:R:3 pbc="T T T"
Mn 0.0000 0.0000 0.0000
Cr 4.4590 4.4590 4.4590
Re 2.9727 2.9727 2.9727
Ge 1.4863 1.4863 1.4863
```

Spin magnetization (Bohr magnetons per cell): 0.0
Energy relative to the elements (kcal/mol of atoms): 1.99

---

MnCrGeRh | GGA-PBE | relaxed

Geometry as extended XYZ:
```
4
Lattice="0.0000 2.9903 2.9903 2.9903 0.0000 2.9903 2.9903 2.9903 0.0000" Properties=species:S:1:pos:R:3 pbc="T T T"
Mn 0.0000 0.0000 0.0000
Cr 4.4855 4.4855 4.4855
Ge 2.9903 2.9903 2.9903
Rh 1.4952 1.4952 1.4952
```

Spin magnetization (Bohr magnetons per cell): 2.0
Energy relative to the elements (kcal/mol of atoms): -5.73

---

Mn2CrGeS6 | GGA-PBE | relaxed

Geometry as extended XYZ:
```
10
Lattice="3.0748 1.7752 5.4857 -3.0748 1.7752 5.4857 0.0000 -3.5505 5.4857" Properties=species:S:1:pos:R:3 pbc="T T T"
Mn 0.0000 0.0000 0.0000
Mn 0.0000 0.0000 8.1662
Cr 0.0000 0.0000 11.3481
Ge 0.0000 0.0000 3.2209
S -2.0910 0.1002 6.9797
S -1.0206 -1.5249 9.7683
S 0.9587 -1.8609 6.9797
S -0.8103 1.6463 9.7683
S 1.1323 1.7607 6.9797
S 1.8309 -0.1214 9.7683
```

Spin magnetization (Bohr magnetons per cell): 10.1
VASP energy (eV/atom): -6.2114

---

MnCrSi2Ge | GGA-PBE | relaxed

Geometry as extended XYZ:
```
5
Lattice="4.7407 0.0000 0.0000 0.0000 4.7407 0.0000 0.0000 0.0000 4.6666" Properties=species:S:1:pos:R:3 pbc="T T T"
Mn 0.0000 0.0000 0.0000
Cr 2.3704 2.3704 0.0000
Si 0.0000 2.3704 2.3333
Si 2.3704 0.0000 2.3333
Ge 2.3704 2.3704 2.3333
```

Spin magnetization (Bohr magnetons per cell): 0.9
VASP energy (eV/atom): -5.6980

---

MnCr2SnGe | GGA-PBE | relaxed

Geometry as extended XYZ:
```
5
Lattice="4.7040 0.0000 0.0000 0.0000 4.7040 0.0000 0.0000 0.0000 4.6653" Properties=species:S:1:pos:R:3 pbc="T T T"
Mn 0.0000 0.0000 0.0000
Cr 0.0000 2.3520 2.3326
Cr 2.3520 0.0000 2.3326
Sn 2.3520 2.3520 0.0000
Ge 0.0000 0.0000 2.3326
```

Spin magnetization (Bohr magnetons per cell): 10.8
Energy relative to the elements (kcal/mol of atoms): 15.77

---

MnCrTcGe | GGA-PBE | relaxed

Geometry as extended XYZ:
```
4
Lattice="2.1097 1.2180 3.3470 -2.1097 1.2180 3.3470 0.0000 -2.4361 3.3470" Properties=species:S:1:pos:R:3 pbc="T T T"
Mn 0.0000 0.0000 0.0000
Cr 0.0000 0.0000 4.9714
Tc 0.0000 0.0000 7.2660
Ge 0.0000 0.0000 2.4388
```

Spin magnetization (Bohr magnetons per cell): 0.0
Energy relative to the elements (kcal/mol of atoms): 2.51

---

MnCrTcGe | GGA-PBE | relaxed

Geometry as extended XYZ:
```
4
Lattice="3.1370 0.0000 0.0000 0.0000 4.0320 0.0000 0.0000 0.0000 4.3183" Properties=species:S:1:pos:R:3 pbc="T T T"
Mn 0.0000 0.0000 0.0000
Cr 1.5685 2.0160 0.0000
Tc 1.5685 0.0000 2.1591
Ge 0.0000 2.0160 2.1591
```

Spin magnetization (Bohr magnetons per cell): 0.2
Energy relative to the elements (kcal/mol of atoms): -1.21

---

MnCrTcGe | GGA-PBE | relaxed

Geometry as extended XYZ:
```
4
Lattice="-1.5175 1.9987 4.1713 1.5175 -1.9987 4.1713 1.5175 1.9987 -4.1713" Properties=species:S:1:pos:R:3 pbc="T T T"
Mn 0.0000 0.0000 0.0000
Cr 1.5175 0.0000 2.0340
Tc 0.0000 1.9987 2.0416
Ge 0.0000 0.0000 4.0842
```

Spin magnetization (Bohr magnetons per cell): 0.0
Energy relative to the elements (kcal/mol of atoms): -0.55